# 1
Compound: TmTlIn
Source: Alexandria
Functional: PBE
Structure: relaxed

Computed properties:
E above lowest polymorph (meV per atom): 92
Uncorrected energy (eV per atom): -3.323
Formation energy from the elements (eV/atom): -0.131

a = 8.4191 Å, b = 4.8701 Å, c = 8.7559 Å
α = 90.00°, β = 108.80°, γ = 90.00°
Space group C2/m (No. 12)
Inequivalent atoms, fractional coordinates:
Tm 0.0737 0.0000 0.2210 (multiplicity 4)
Tl 0.2005 0.0000 0.6011 (multiplicity 4)
In 0.1476 0.5000 0.9427 (multiplicity 4)

# 2
Compound: Al2MoSe
Source: Alexandria
Functional: PBE
Structure: relaxed

Computed properties:
ΔE_f (raw) (meV per atom): -77.4
Uncorrected energy (eV per atom): -5.528

a = 3.3163 Å, b = 4.1764 Å, c = 5.1785 Å
α = 90.00°, β = 108.52°, γ = 90.00°
Space group Pm (No. 6)
Inequivalent atoms, fractional coordinates:
Al 0.0000 0.0000 0.0000 (multiplicity 1)
Al 0.3163 0.5000 0.6379 (multiplicity 1)
Mo 0.5910 0.5000 0.1840 (multiplicity 1)
Se 0.7388 0.0000 0.4820 (multiplicity 1)

# 3
Compound: RbOsF6
Source: Alexandria
Functional: PBE
Structure: relaxed

Computed properties:
ΔE_f (raw) (meV per atom): -2165.1
Uncorrected energy (eV per atom): -5.093

a = 5.8051 Å, b = 5.8051 Å, c = 5.8951 Å
α = 90.00°, β = 90.00°, γ = 120.00°
Space group P312 (No. 149)
Inequivalent atoms, fractional coordinates:
Rb 0.0000 0.0000 0.0000 (multiplicity 1)
Os 0.6667 0.3333 0.5000 (multiplicity 1)
F 0.3996 0.0649 0.6900 (multiplicity 6)

# 4
Compound: Ta2ZnB2
Source: Alexandria
Functional: PBE
Structure: relaxed

Computed properties:
E above lowest polymorph (meV per atom): 745
Uncorrected energy (eV per atom): -7.312
Formation energy from the elements (eV/atom): 0.355

a = 6.7089 Å, b = 6.7089 Å, c = 2.9551 Å
α = 90.00°, β = 90.00°, γ = 90.00°
Space group P4/mbm (No. 127)
Inequivalent atoms, fractional coordinates:
Ta 0.1434 0.3566 0.0000 (multiplicity 4)
Zn 0.0000 0.0000 0.0000 (multiplicity 2)
B 0.1598 0.6598 0.5000 (multiplicity 4)

# 5
Compound: Pu4Ga16Cu3
Source: Alexandria
Functional: PBE
Structure: relaxed

Computed properties:
Uncorrected energy (eV per atom): -5.442
Formation energy from the elements (eV/atom): -0.310

a = 6.2116 Å, b = 6.2116 Å, c = 11.0063 Å
α = 90.00°, β = 90.00°, γ = 90.00°
Space group P4/mmm (No. 123)
Inequivalent atoms, fractional coordinates:
Pu 0.0000 0.5000 0.1900 (multiplicity 4)
Ga 0.0000 0.0000 0.2015 (multiplicity 2)
Ga 0.2152 0.2152 0.0000 (multiplicity 4)
Ga 0.2446 0.2446 0.3775 (multiplicity 8)
Ga 0.5000 0.5000 0.2291 (multiplicity 2)
Cu 0.0000 0.5000 0.5000 (multiplicity 2)
Cu 0.5000 0.5000 0.0000 (multiplicity 1)

# 6
Compound: HoCO4
Source: Alexandria
Functional: PBE
Structure: relaxed

Computed properties:
ΔE_f (raw) (meV per atom): -2031.5
E above lowest polymorph (meV per atom): 30
Uncorrected energy (eV per atom): -7.637

a = 4.4880 Å, b = 6.7112 Å, c = 6.3378 Å
α = 90.00°, β = 95.99°, γ = 90.00°
Space group P2_1/m (No. 11)
Inequivalent atoms, fractional coordinates:
Ho 0.0357 0.2500 0.1632 (multiplicity 2)
C 0.0558 0.2500 0.7066 (multiplicity 2)
O 0.0285 0.0872 0.8168 (multiplicity 4)
O 0.1081 0.2500 0.5156 (multiplicity 2)
O 0.4646 0.7500 0.8631 (multiplicity 2)

# 7
Compound: As2PW
Source: Alexandria
Functional: PBE
Structure: relaxed

Computed properties:
Uncorrected energy (eV per atom): -6.564
Formation energy from the elements (eV/atom): 0.351

a = 3.2025 Å, b = 3.2025 Å, c = 6.3812 Å
α = 90.00°, β = 90.00°, γ = 90.00°
Space group P4/mmm (No. 123)
Inequivalent atoms, fractional coordinates:
As 0.0000 0.0000 0.2280 (multiplicity 2)
P 0.5000 0.5000 0.5000 (multiplicity 1)
W 0.5000 0.5000 0.0000 (multiplicity 1)

# 8
Compound: CsSr2AcI8
Source: Alexandria
Functional: PBE
Structure: relaxed

Computed properties:
ΔE_f (raw) (meV per atom): -1586.9
Uncorrected energy (eV per atom): -3.314

a = 7.6778 Å, b = 8.0449 Å, c = 10.3862 Å
α = 89.97°, β = 89.94°, γ = 89.85°
Space group P-1 (No. 2)
Inequivalent atoms, fractional coordinates:
Cs 0.0000 0.0000 0.0000 (multiplicity 1)
Sr 0.5000 0.5001 0.2470 (multiplicity 2)
Ac 0.0000 0.0000 0.5000 (multiplicity 1)
I 0.2562 0.8384 0.2840 (multiplicity 2)
I 0.2557 0.8378 0.7157 (multiplicity 2)
I 0.2596 0.3366 0.5001 (multiplicity 2)
I 0.2637 0.3877 0.0003 (multiplicity 2)

# 9
Compound: Cs2LaBr4
Source: Alexandria
Functional: PBE
Structure: relaxed

Computed properties:
ΔE_f (raw) (meV per atom): -1717.9
Uncorrected energy (eV per atom): -3.622

a = 5.9273 Å, b = 5.9273 Å, c = 18.2602 Å
α = 90.00°, β = 90.00°, γ = 90.00°
Space group I4/mmm (No. 139)
Inequivalent atoms, fractional coordinates:
Cs 0.0000 0.0000 0.1380 (multiplicity 4)
La 0.0000 0.0000 0.5000 (multiplicity 2)
Br 0.0000 0.0000 0.3346 (multiplicity 4)
Br 0.0000 0.5000 0.0000 (multiplicity 4)

# 10
Compound: LiMg3Cd6
Source: Alexandria
Functional: PBE
Structure: relaxed

Computed properties:
E above lowest polymorph (meV per atom): 0
Uncorrected energy (eV per atom): -1.334
Formation energy from the elements (eV/atom): -0.115

a = 8.5950 Å, b = 4.9160 Å, c = 10.3567 Å
α = 90.00°, β = 104.88°, γ = 90.00°
Space group P2_1/m (No. 11)
Inequivalent atoms, fractional coordinates:
Li 0.0539 0.2500 0.3849 (multiplicity 2)
Mg 0.2536 0.2500 0.9872 (multiplicity 2)
Mg 0.3469 0.7500 0.8022 (multiplicity 2)
Mg 0.4539 0.2500 0.5904 (multiplicity 2)
Cd 0.0489 0.7500 0.9033 (multiplicity 2)
Cd 0.1392 0.7500 0.2091 (multiplicity 2)
Cd 0.1467 0.2500 0.6742 (multiplicity 2)
Cd 0.2279 0.7500 0.5058 (multiplicity 2)
Cd 0.3497 0.2500 0.2931 (multiplicity 2)
Cd 0.4457 0.7500 0.1071 (multiplicity 2)

# 11
Compound: RbGaHg4
Source: Alexandria
Functional: PBE
Structure: relaxed

Computed properties:
E above lowest polymorph (meV per atom): 105
Uncorrected energy (eV per atom): -0.877
Formation energy from the elements (eV/atom): -0.010

a = 8.9528 Å, b = 8.9528 Å, c = 8.9528 Å
α = 90.00°, β = 90.00°, γ = 90.00°
Space group F-43m (No. 216)
Inequivalent atoms, fractional coordinates:
Rb 0.0000 0.0000 0.0000 (multiplicity 4)
Ga 0.2500 0.2500 0.7500 (multiplicity 4)
Hg 0.1245 0.1245 0.3755 (multiplicity 16)

# 12
Compound: ScV3Mo
Source: Alexandria
Functional: PBE
Structure: relaxed

Computed properties:
E above lowest polymorph (meV per atom): 0
Uncorrected energy (eV per atom): -7.998
Formation energy from the elements (eV/atom): 0.906

a = 4.5813 Å, b = 4.5813 Å, c = 4.5813 Å
α = 90.00°, β = 90.00°, γ = 90.00°
Space group Pm-3m (No. 221)
Inequivalent atoms, fractional coordinates:
Sc 0.0000 0.0000 0.0000 (multiplicity 1)
V 0.0000 0.5000 0.5000 (multiplicity 3)
Mo 0.5000 0.5000 0.5000 (multiplicity 1)